# 1
CuSe2Cl after structural relaxation. Source: the Alexandria database, functional PBE-GGA.

Structure (POSCAR):
```
CuSe2Cl
1.0
-3.2965 -0.6533 0.4054
0.4107 0.0120 3.3584
-1.3325 6.8096 0.1385
Se Cu Cl
2 1 1
direct
0.0000 0.0000 0.9259
0.0000 0.0000 0.5741
0.5000 0.5000 0.7500
0.5000 0.5000 0.2500
```

Results
Energy relative to the lowest polymorph listed for this composition   181.9 kJ/mol of formula units
Raw formation energy   0.18 eV/atom



# 2
HfZr2InO after structural relaxation. Source: the Alexandria database, functional PBE-GGA.

Structure (POSCAR):
```
HfZr2InO
1.0
4.6541 0.0000 0.0000
0.0000 4.6541 0.0000
0.0000 0.0000 4.2470
Hf O In Zr
1 1 1 2
direct
0.0000 0.0000 0.5000
0.0000 0.0000 0.0000
0.5000 0.5000 0.5000
0.5000 0.0000 0.0000
0.0000 0.5000 0.0000
```

Results
Raw formation energy   -1.09 eV/atom



# 3
Th2SnHg after structural relaxation. Source: the Alexandria database, functional PBE-GGA.

Structure (POSCAR):
```
Th2SnHg
1.0
3.4884 0.0000 0.0000
1.7442 3.0210 0.0000
1.7442 1.0070 11.6867
Th Sn Hg
2 1 1
direct
0.9086 0.9086 0.2742
0.0914 0.0914 0.7258
0.0000 0.0000 0.0000
0.5000 0.5000 0.5000
```

Results
DFT total energy   -18.96 eV/cell



# 4
InMo2SN after structural relaxation. Source: the Alexandria database, functional PBE-GGA.

Structure (POSCAR):
```
InMo2SN
1.0
-3.4623 3.2775 -2.6380
-3.2064 -0.4276 3.6771
2.2305 4.3267 2.4481
S In N Mo
1 1 1 2
direct
0.0000 0.5000 0.0000
0.0000 0.0000 0.0000
0.5000 0.5000 0.5000
0.5000 0.0000 0.0000
0.0000 0.0000 0.5000
```

Results
Raw formation energy   2.81 eV/atom



# 5
TaMoPb after structural relaxation. Source: the Alexandria database, functional PBE-GGA.

Structure (POSCAR):
```
TaMoPb
1.0
-2.4193 -0.7327 -4.0189
-1.9702 -1.0690 4.1853
-1.1190 2.7422 0.1737
Pb Mo Ta
1 1 1
direct
0.3333 0.6667 0.3091
0.0000 0.0000 0.9864
0.6667 0.3333 0.7045
```

Results
Energy relative to the lowest polymorph listed for this composition   45.6 kJ/mol of formula units



# 6
Pm2Nd2Dy5 after structural relaxation. Source: the Alexandria database, functional PBE-GGA.

Structure (POSCAR):
```
Pm2Nd2Dy5
1.0
-11.1415 4.1743 -0.7457
-1.5229 -3.0180 5.8595
8.3996 5.6048 1.1650
Dy Pm Nd
10 4 4
direct
0.1909 0.1529 0.8941
0.4082 0.5353 0.2849
0.2031 0.6529 0.8941
0.8091 0.2589 0.1059
0.3767 0.0353 0.2849
0.9932 0.1570 0.5000
0.7969 0.7589 0.1059
0.0068 0.6570 0.5000
0.5918 0.2503 0.7151
0.6233 0.7503 0.7151
0.6286 0.1838 0.2527
0.1241 0.6838 0.2527
0.8759 0.4311 0.7473
0.3714 0.9311 0.7473
0.0000 0.0132 0.0000
0.2586 0.3535 0.5000
0.5000 0.5132 0.0000
0.7414 0.8535 0.5000
```

Results
Energy relative to the lowest polymorph listed for this composition   53.7 kJ/mol of formula units



# 7
Ac2SmSb3Ir4 after structural relaxation. Source: the Alexandria database, functional PBE-GGA.

Structure (POSCAR):
```
Ac2SmSb3Ir4
1.0
4.4956 0.0000 0.0000
0.0000 4.4956 0.0000
0.0000 0.0000 11.6898
Sb Ir Ac Sm
3 4 2 1
direct
0.0000 0.5000 0.1264
0.5000 0.0000 0.8736
0.0000 0.0000 0.5000
0.5000 0.5000 0.0000
0.0000 0.5000 0.3505
0.0000 0.0000 0.0000
0.5000 0.0000 0.6495
0.5000 0.0000 0.2364
0.0000 0.5000 0.7636
0.5000 0.5000 0.5000
```

Results
Raw formation energy   -0.67 eV/atom



# 8
Pm8C2N3 after structural relaxation. Source: the Alexandria database, functional PBE-GGA.

Structure (POSCAR):
```
Pm8C2N3
1.0
6.1966 -0.0539 1.8009
1.1038 6.2679 3.6665
-0.0197 0.0067 7.3450
N Pm C
3 8 2
direct
0.0000 0.2477 0.7523
0.0000 0.7523 0.2477
0.5000 0.0000 0.0000
0.2142 0.3806 0.3806
0.2374 0.3637 0.8875
0.2374 0.8875 0.3637
0.7626 0.6363 0.1125
0.2359 0.8857 0.8857
0.7641 0.1143 0.1143
0.7858 0.6194 0.6194
0.7626 0.1125 0.6363
0.0080 0.2503 0.2503
0.9920 0.7497 0.7497
```

Results
Raw formation energy   -0.68 eV/atom



# 9
NbMo14W after structural relaxation. Source: the Alexandria database, functional PBE-GGA.

Structure (POSCAR):
```
NbMo14W
1.0
6.3515 -0.0133 0.0000
0.0137 6.3515 0.0000
0.0000 0.0000 6.3518
Mo W Nb
14 1 1
direct
0.6240 0.1260 0.7515
0.8750 0.3750 0.5000
0.3750 0.8750 0.5000
0.3750 0.8750 0.0000
0.6240 0.1260 0.2485
0.1260 0.6240 0.2485
0.1260 0.6240 0.7515
0.6239 0.6239 0.7515
0.8750 0.8750 0.0000
0.1261 0.1261 0.7515
0.8750 0.3750 0.0000
0.1261 0.1261 0.2485
0.3750 0.3750 0.0000
0.6239 0.6239 0.2485
0.3750 0.3750 0.5000
0.8750 0.8750 0.5000
```

Results
DFT total energy   -175.15 eV/cell



# 10
Cs2FePbBr6 after structural relaxation. Source: the Alexandria database, functional PBE-GGA.

Structure (POSCAR):
```
Cs2FePbBr6
1.0
-0.5770 7.5609 -2.5446
-2.8686 2.1839 7.1398
3.5269 5.8793 4.0988
Pb Br Cs Fe
1 6 2 1
direct
0.0000 0.0000 0.0000
0.7327 0.7327 0.5345
0.2673 0.2673 0.4655
0.7338 0.2662 0.0000
0.2662 0.7338 0.0000
0.2662 0.2662 0.0000
0.7338 0.7338 0.0000
0.2500 0.7500 0.5000
0.7500 0.2500 0.5000
0.5000 0.5000 0.0000
```

Results
Raw formation energy   -1.11 eV/atom



# 11
Cs2YSiBr6 after structural relaxation. Source: the Alexandria database, functional PBE-GGA.

Structure (POSCAR):
```
Cs2YSiBr6
1.0
-5.2538 -3.0855 -5.0027
-2.4717 -4.9280 5.6352
-8.2389 0.3622 2.2175
Cs Br Si Y
2 6 1 1
direct
0.2500 0.7500 0.5000
0.7500 0.2500 0.5000
0.7842 0.7842 0.4315
0.7476 0.7476 0.0000
0.2524 0.7476 0.0000
0.7476 0.2524 0.0000
0.2524 0.2524 0.0000
0.2158 0.2158 0.5685
0.5000 0.5000 0.0000
0.0000 0.0000 0.0000
```

Results
Raw formation energy   -1.35 eV/atom



# 12
Dy2Sc2Co2S after structural relaxation. Source: the Alexandria database, functional PBE-GGA.

Structure (POSCAR):
```
Dy2Sc2Co2S
1.0
-2.8068 -0.0212 -2.4029
2.7226 -2.6432 -5.9976
-1.8144 -6.1245 -0.6673
Sc S Co Dy
2 1 2 2
direct
0.2221 0.6742 0.8816
0.7779 0.3258 0.1184
0.0000 0.0000 0.0000
0.1086 0.4404 0.3425
0.8914 0.5596 0.6575
0.4521 0.7748 0.3210
0.5479 0.2252 0.6790
```

Results
Raw formation energy   -0.66 eV/atom